No. 1
Entry from Alexandria: a relaxed Ba2PPd6 crystal (PBE).

Computed properties:
- density of states at the Fermi level (states/eV/atom) = 0.56
- raw total energy (eV per atom) = -4.981
- symmetry = C2/m, No. 12
- density (g/cm3) = 8.55

Cell lengths 6.0027, 6.0271, 6.1008 Å; angles 75.55, 90.00, 119.87 degrees
Element x y z (fractional)
Pd  0.3820  0.2835  0.6949
Pd  0.0985  0.7165  0.3051
Pd  0.8872  0.7744  0.6998
Pd  0.6180  0.7165  0.3051
Pd  0.1128  0.2256  0.3002
Pd  0.9015  0.2835  0.6949
Ba  0.3719  0.7438  0.8163
Ba  0.6281  0.2562  0.1837
P  0.0000  0.0000  0.0000


No. 2
Entry from Alexandria: a relaxed BaP2Pd2 crystal (PBE).

Computed properties:
- density of states at the Fermi level (states/eV/atom) = 0.11
- raw total energy (eV per atom) = -5.419
- symmetry = P4/mmm, No. 123
- density (g/cm3) = 6.43

Cell lengths 4.3179, 4.3179, 5.7043 Å; angles 90.00, 90.00, 90.00 degrees
Element x y z (fractional)
P  0.5000  0.5000  0.7087
P  0.5000  0.5000  0.2913
Pd  0.5000  0.0000  0.5000
Pd  0.0000  0.5000  0.5000
Ba  0.0000  0.0000  0.0000